Material: Sr2TlRu
Method: DFT, PBE-GGA
State: optimized geometry

Properties
ΔH_f (0 K): 0.227 eV/atom
E_tot: -3.5241 eV/atom
calculated volume: 38.59 Å³/atom
total magnetization: 0.0 μB/f.u.

```
data_Sr2TlRu
_chemical_formula_sum 'Sr8 Tl4 Ru4'
_space_group_name_H-M_alt 'I -4 2 d'
_space_group_IT_number 122
_space_group_name_Hall 'I -4 2bw'
_cell_length_a 10.740
_cell_length_b 10.740
_cell_length_c 5.352
_cell_angle_alpha 90.00
_cell_angle_beta 90.00
_cell_angle_gamma 90.00
loop_
_atom_site_label
_atom_site_fract_x
_atom_site_fract_y
_atom_site_fract_z
Sr1 0.088 0.250 0.125
Tl1 0.000 0.000 0.500
Ru1 0.000 0.000 0.000
```

Material: SrTlRu2
Method: DFT, PBE-GGA
State: optimized geometry

Properties
ΔH_f (0 K): 0.874 eV/atom
E_tot: -4.7756 eV/atom
calculated volume: 20.62 Å³/atom
total magnetization: 0.0 μB/f.u.

```
data_SrTlRu2
_chemical_formula_sum 'Sr3 Tl3 Ru6'
_space_group_name_H-M_alt 'R -3 m'
_space_group_IT_number 166
_space_group_name_Hall '-R 3 2"'
_cell_length_a 3.2479
_cell_length_b 3.2479
_cell_length_c 27.0879
_cell_angle_alpha 90.00
_cell_angle_beta 90.00
_cell_angle_gamma 120.00
loop_
_atom_site_label
_atom_site_fract_x
_atom_site_fract_y
_atom_site_fract_z
Sr1 0.0000 0.0000 0.0000
Tl1 0.0000 0.0000 0.5000
Ru1 0.0000 0.0000 0.2437
```

Material: SrTlRu
Method: DFT, PBE-GGA
State: optimized geometry

Properties
ΔH_f (0 K): 0.273 eV/atom
E_tot: -4.1683 eV/atom
calculated volume: 24.96 Å³/atom
total magnetization: 0.0 μB/f.u.

```
data_SrTlRu
_chemical_formula_sum 'Sr2 Tl2 Ru2'
_space_group_name_H-M_alt 'I 4 m m'
_space_group_IT_number 107
_space_group_name_Hall 'I 4 -2'
_cell_length_a 3.672
_cell_length_b 3.672
_cell_length_c 11.105
_cell_angle_alpha 90.00
_cell_angle_beta 90.00
_cell_angle_gamma 90.00
loop_
_atom_site_label
_atom_site_fract_x
_atom_site_fract_y
_atom_site_fract_z
Sr1 0.000 0.000 0.000
Tl1 0.000 0.000 0.712
Ru1 0.000 0.000 0.306
```

Material: Sr2TlRu
Method: DFT, PBE-GGA
State: optimized geometry

Properties
ΔH_f (0 K): 0.249 eV/atom
E_tot: -3.5026 eV/atom
calculated volume: 28.14 Å³/atom
total magnetization: 0.0 μB/f.u.

```
data_Sr2TlRu
_chemical_formula_sum 'Sr8 Tl4 Ru4'
_space_group_name_H-M_alt 'F m -3 m'
_space_group_IT_number 225
_space_group_name_Hall '-F 4 2 3'
_cell_length_a 7.665
_cell_length_b 7.665
_cell_length_c 7.665
_cell_angle_alpha 90.00
_cell_angle_beta 90.00
_cell_angle_gamma 90.00
loop_
_atom_site_label
_atom_site_fract_x
_atom_site_fract_y
_atom_site_fract_z
Sr1 0.250 0.250 0.250
Tl1 0.000 0.000 0.000
Ru1 0.000 0.000 0.500
```

Material: SrTlRu3
Method: DFT, PBE-GGA
State: optimized geometry

Properties
ΔH_f (0 K): 2.329 eV/atom
E_tot: -4.0461 eV/atom
calculated volume: 24.91 Å³/atom
total magnetization: 5.0 μB/f.u.

```
data_SrTlRu3
_chemical_formula_sum 'Sr1 Tl1 Ru3'
_space_group_name_H-M_alt 'P m -3 m'
_space_group_IT_number 221
_space_group_name_Hall '-P 4 2 3'
_cell_length_a 4.994
_cell_length_b 4.994
_cell_length_c 4.994
_cell_angle_alpha 90.00
_cell_angle_beta 90.00
_cell_angle_gamma 90.00
loop_
_atom_site_label
_atom_site_fract_x
_atom_site_fract_y
_atom_site_fract_z
Sr1 0.000 0.000 0.000
Tl1 0.500 0.500 0.500
Ru1 0.000 0.000 0.500
```

Material: Sr2TlRu
Method: DFT, PBE-GGA
State: optimized geometry

Properties
ΔH_f (0 K): 0.196 eV/atom
E_tot: -3.5550 eV/atom
calculated volume: 31.07 Å³/atom
total magnetization: 0.0 μB/f.u.

```
data_Sr2TlRu
_chemical_formula_sum 'Sr2 Tl1 Ru1'
_space_group_name_H-M_alt 'P 4 m m'
_space_group_IT_number 99
_cell_length_a 3.731
_cell_length_b 3.731
_cell_length_c 8.925
_cell_angle_alpha 90.00
_cell_angle_beta 90.00
_cell_angle_gamma 90.00
loop_
_space_group_symop_operation_xyz
'x,y,z'
'-y,x,z'
'-x,-y,z'
'y,-x,z'
'-x,y,z'
'y,x,z'
'x,-y,z'
'-y,-x,z'
loop_
_atom_site_label
_atom_site_fract_x
_atom_site_fract_y
_atom_site_fract_z
Sr1 0.000 0.000 0.000
Sr2 0.500 0.500 0.409
Tl1 0.000 0.000 0.645
Ru1 0.500 0.500 0.771
```

Material: SrTlRu2
Method: DFT, PBE-GGA
State: optimized geometry

Properties
ΔH_f (0 K): 0.776 eV/atom
E_tot: -4.8736 eV/atom
calculated volume: 20.05 Å³/atom
total magnetization: 0.0 μB/f.u.

```
data_SrTlRu2
_chemical_formula_sum 'Sr2 Tl2 Ru4'
_space_group_name_H-M_alt 'C 1 2/m 1'
_space_group_IT_number 12
_cell_length_a 6.228
_cell_length_b 9.467
_cell_length_c 3.024
_cell_angle_alpha 90.00
_cell_angle_beta 115.93
_cell_angle_gamma 90.00
loop_
_space_group_symop_operation_xyz
'x,y,z'
'-x,-y,-z'
'-x,y,-z'
'x,-y,z'
'x+1/2,y+1/2,z'
'-x+1/2,-y+1/2,-z'
'-x+1/2,y+1/2,-z'
'x+1/2,-y+1/2,z'
loop_
_atom_site_label
_atom_site_fract_x
_atom_site_fract_y
_atom_site_fract_z
Sr1 0.000 0.000 0.000
Tl1 0.000 0.500 0.000
Ru1 0.250 0.250 0.500
```

Material: Sr4TlRu
Method: DFT, PBE-GGA
State: optimized geometry

Properties
ΔH_f (0 K): 0.919 eV/atom
E_tot: -2.1428 eV/atom
calculated volume: 35.23 Å³/atom
total magnetization: 0.6 μB/f.u.

```
data_Sr4TlRu
_chemical_formula_sum 'Sr16 Tl4 Ru4'
_space_group_name_H-M_alt 'F -4 3 m'
_space_group_IT_number 216
_space_group_name_Hall 'F -4 2 3'
_cell_length_a 9.456
_cell_length_b 9.456
_cell_length_c 9.456
_cell_angle_alpha 90.00
_cell_angle_beta 90.00
_cell_angle_gamma 90.00
loop_
_atom_site_label
_atom_site_fract_x
_atom_site_fract_y
_atom_site_fract_z
Sr1 0.124 0.124 0.376
Tl1 0.000 0.000 0.000
Ru1 0.250 0.250 0.750
```

Material: SrTlRu
Method: DFT, PBE-GGA
State: optimized geometry

Properties
ΔH_f (0 K): 0.258 eV/atom
E_tot: -4.1829 eV/atom
calculated volume: 26.45 Å³/atom
total magnetization: 0.0 μB/f.u.

```
data_SrTlRu
_chemical_formula_sum 'Sr1 Tl1 Ru1'
_space_group_name_H-M_alt 'P -6 m 2'
_space_group_IT_number 187
_space_group_name_Hall 'P -6 2'
_cell_length_a 4.7415
_cell_length_b 4.7415
_cell_length_c 4.0751
_cell_angle_alpha 90.00
_cell_angle_beta 90.00
_cell_angle_gamma 120.00
loop_
_atom_site_label
_atom_site_fract_x
_atom_site_fract_y
_atom_site_fract_z
Sr1 0.0000 0.0000 0.0000
Tl1 0.6667 0.3333 0.5000
Ru1 0.3333 0.6667 0.5000
```

Material: Sr2TlRu
Method: DFT, PBE-GGA
State: optimized geometry

Properties
ΔH_f (0 K): 0.356 eV/atom
E_tot: -3.3954 eV/atom
calculated volume: 30.46 Å³/atom
total magnetization: 0.1 μB/f.u.

```
data_Sr2TlRu
_chemical_formula_sum 'Sr4 Tl2 Ru2'
_space_group_name_H-M_alt 'C 1 2/m 1'
_space_group_IT_number 12
_cell_length_a 6.576
_cell_length_b 3.728
_cell_length_c 10.154
_cell_angle_alpha 90.00
_cell_angle_beta 101.72
_cell_angle_gamma 90.00
loop_
_space_group_symop_operation_xyz
'x,y,z'
'-x,-y,-z'
'-x,y,-z'
'x,-y,z'
'x+1/2,y+1/2,z'
'-x+1/2,-y+1/2,-z'
'-x+1/2,y+1/2,-z'
'x+1/2,-y+1/2,z'
loop_
_atom_site_label
_atom_site_fract_x
_atom_site_fract_y
_atom_site_fract_z
Sr1 0.236 0.000 0.208
Tl1 0.000 0.000 0.500
Ru1 0.000 0.500 0.000
```

Material: SrTlRu
Method: DFT, PBE-GGA
State: optimized geometry

Properties
ΔH_f (0 K): 0.473 eV/atom
E_tot: -3.9680 eV/atom
calculated volume: 26.63 Å³/atom
total magnetization: 0.0 μB/f.u.

```
data_SrTlRu
_chemical_formula_sum 'Sr1 Tl1 Ru1'
_space_group_name_H-M_alt 'P 3 m 1'
_space_group_IT_number 156
_cell_length_a 3.7334
_cell_length_b 3.7334
_cell_length_c 6.6189
_cell_angle_alpha 90.00
_cell_angle_beta 90.00
_cell_angle_gamma 120.00
loop_
_space_group_symop_operation_xyz
'x,y,z'
'-y,x-y,z'
'-x+y,-x,z'
'-y,-x,z'
'-x+y,y,z'
'x,x-y,z'
loop_
_atom_site_label
_atom_site_fract_x
_atom_site_fract_y
_atom_site_fract_z
Sr1 0.0000 0.0000 0.0000
Tl1 0.6667 0.3333 0.4245
Ru1 0.3333 0.6667 0.6842
```

Material: SrTlRu2
Method: DFT, PBE-GGA
State: optimized geometry

Properties
ΔH_f (0 K): 0.620 eV/atom
E_tot: -5.0301 eV/atom
calculated volume: 25.72 Å³/atom
total magnetization: 0.0 μB/f.u.

```
data_SrTlRu2
_chemical_formula_sum 'Sr4 Tl4 Ru8'
_space_group_name_H-M_alt 'I -4 2 d'
_space_group_IT_number 122
_space_group_name_Hall 'I -4 2bw'
_cell_length_a 4.595
_cell_length_b 4.595
_cell_length_c 19.489
_cell_angle_alpha 90.00
_cell_angle_beta 90.00
_cell_angle_gamma 90.00
loop_
_atom_site_label
_atom_site_fract_x
_atom_site_fract_y
_atom_site_fract_z
Sr1 0.000 0.000 0.000
Tl1 0.000 0.000 0.500
Ru1 0.096 0.250 0.625
```

Material: SrTlRu
Method: DFT, PBE-GGA
State: optimized geometry

Properties
ΔH_f (0 K): 0.399 eV/atom
E_tot: -4.0422 eV/atom
calculated volume: 26.88 Å³/atom
total magnetization: 0.0 μB/f.u.

```
data_SrTlRu
_chemical_formula_sum 'Sr4 Tl4 Ru4'
_space_group_name_H-M_alt 'F -4 3 m'
_space_group_IT_number 216
_space_group_name_Hall 'F -4 2 3'
_cell_length_a 6.858
_cell_length_b 6.858
_cell_length_c 6.858
_cell_angle_alpha 90.00
_cell_angle_beta 90.00
_cell_angle_gamma 90.00
loop_
_atom_site_label
_atom_site_fract_x
_atom_site_fract_y
_atom_site_fract_z
Sr1 0.000 0.000 0.000
Tl1 0.000 0.000 0.500
Ru1 0.250 0.250 0.250
```

Material: Sr2TlRu
Method: DFT, PBE-GGA
State: optimized geometry

Properties
ΔH_f (0 K): 0.323 eV/atom
E_tot: -3.4287 eV/atom
calculated volume: 26.86 Å³/atom
total magnetization: 0.0 μB/f.u.

```
data_Sr2TlRu
_chemical_formula_sum 'Sr4 Tl2 Ru2'
_space_group_name_H-M_alt 'I -4 m 2'
_space_group_IT_number 119
_space_group_name_Hall 'I -4 -2'
_cell_length_a 4.787
_cell_length_b 4.787
_cell_length_c 9.377
_cell_angle_alpha 90.00
_cell_angle_beta 90.00
_cell_angle_gamma 90.00
loop_
_atom_site_label
_atom_site_fract_x
_atom_site_fract_y
_atom_site_fract_z
Sr1 0.000 0.000 0.000
Sr2 0.000 0.500 0.250
Tl1 0.000 0.500 0.750
Ru1 0.000 0.000 0.500
```

Material: SrTlRu2
Method: DFT, PBE-GGA
State: optimized geometry

Properties
ΔH_f (0 K): 0.308 eV/atom
E_tot: -5.3418 eV/atom
calculated volume: 21.63 Å³/atom
total magnetization: 0.0 μB/f.u.

```
data_SrTlRu2
_chemical_formula_sum 'Sr1 Tl1 Ru2'
_space_group_name_H-M_alt 'P m m 2'
_space_group_IT_number 25
_cell_length_a 3.023
_cell_length_b 3.646
_cell_length_c 7.849
_cell_angle_alpha 90.00
_cell_angle_beta 90.00
_cell_angle_gamma 90.00
loop_
_space_group_symop_operation_xyz
'x,y,z'
'-x,-y,z'
'-x,y,z'
'x,-y,z'
loop_
_atom_site_label
_atom_site_fract_x
_atom_site_fract_y
_atom_site_fract_z
Sr1 0.000 0.000 0.000
Tl1 0.500 0.500 0.331
Ru1 0.000 0.000 0.578
Ru2 0.500 0.500 0.707
```